Entry 1:
InSi2As | GGA-PBE | relaxed

abc: 3.0874 3.0874 8.6670
angles: 90.00 90.00 107.99
Last column: nearest neighbours and their distance in Å.
Atoms (fractional coordinates):
1 In 0.5000 0.5000 0.7659  2 Si 3.04, 4 In 3.09, 2 As 3.30
2 Si 0.5000 0.5000 0.2391  2 Si 2.46, 2 As 2.56
3 Si 0.0000 0.0000 0.0468  2 Si 2.46
4 As 0.0000 0.0000 0.4482  2 Si 2.56

Calculated values
Formation energy without anion corrections (meV per atom): 424
Space-group type: No. 35

---

Entry 2:
InSi2As | GGA-PBE | relaxed

abc: 3.3811 3.3811 6.9497
angles: 90.00 90.00 90.00
Last column: nearest neighbours and their distance in Å.
Atoms (fractional coordinates):
1 In 0.5000 0.5000 0.7606  5 Si 3.23-3.28, 4 As 3.30, 4 In 3.38
2 Si 0.0000 0.0000 0.0726  1 As 2.51, 4 Si 2.64
3 Si 0.5000 0.5000 0.2326  4 Si 2.64, 4 As 2.77
4 As 0.0000 0.0000 0.4342  5 Si 2.51-2.77

Calculated values
Formation energy without anion corrections (meV per atom): 356
Space-group type: No. 99

---

Entry 3:
InSiAs2 | GGA-PBE | relaxed

abc: 5.3736 2.8915 5.7651
angles: 82.94 90.00 90.00
Last column: nearest neighbours and their distance in Å.
Atoms (fractional coordinates):
1 As 0.5000 0.3608 0.2843  2 Si 2.54-2.55, 2 In 2.80
2 As 0.0000 0.9678 0.8915  2 Si 2.69, 1 In 2.80, 2 As 2.89
3 Si 0.5000 0.9549 0.9182  4 As 2.54-2.69
4 In 0.0000 0.2165 0.4059  3 As 2.80, 2 In 2.89

Calculated values
Formation energy without anion corrections (meV per atom): 221
Space-group type: No. 6

---

Entry 4:
InSiAs2 | GGA-PBE | relaxed

abc: 6.9200 6.9200 6.9200
angles: 32.00 32.00 32.00
Last column: nearest neighbours and their distance in Å.
Atoms (fractional coordinates):
1 As 0.0137 0.0137 0.0137  3 Si 2.59
2 As 0.4863 0.4863 0.4863  3 Si 2.59
3 In 0.2500 0.2500 0.2500  6 As 2.92
4 Si 0.7500 0.7500 0.7500  6 As 2.59

Calculated values
Formation energy without anion corrections (meV per atom): 53
Space-group type: No. 166

---

Question: Which value of formation energy without anion corrections does entry 2 give?
Answer: 356 meV per atom